Density functional theory data (PBE) for crystalline Th6P3C2S at its relaxed geometry.

Cell lengths 8.982, 8.982, 8.117 Å; angles 103.31, 103.31, 25.61 degrees
Positions (direct):
Th: 0.011 0.011 0.258
Th: 0.326 0.326 0.432
Th: 0.330 0.330 0.889
Th: 0.670 0.670 0.111
Th: 0.674 0.674 0.568
Th: 0.989 0.989 0.742
P: 0.162 0.162 0.833
P: 0.500 0.500 0.500
P: 0.838 0.838 0.167
C: 0.168 0.168 0.333
C: 0.832 0.832 0.667
S: 0.500 0.500 0.000

## Properties
Space group: No. 12
Raw total energy in eV/atom: -8.128
E_form (uncorrected) in meV per atom: -1185